No. 1
First-principles (PBE) data for crystalline AgPO3 at its relaxed geometry, as listed in Alexandria.

a = 6.0508 Å, b = 7.5076 Å, c = 14.1896 Å
α = 60.79°, β = 90.00°, γ = 90.00°
Element x y z (fractional)
1 O 0.7992 0.0713 0.7186
2 Ag 0.4099 0.2639 0.4672
3 Ag 0.0901 0.2639 0.9672
4 O 0.0374 0.8647 0.6667
5 O 0.8008 0.0214 0.0567
6 P 0.1137 0.9329 0.3888
7 Ag 0.5901 0.7361 0.5328
8 O 0.0312 0.6299 0.8728
9 P 0.3195 0.7409 0.2754
10 O 0.7008 0.0713 0.2186
11 Ag 0.3387 0.4985 0.1247
12 Ag 0.9099 0.7361 0.0328
13 O 0.6524 0.3816 0.2476
14 O 0.2008 0.9287 0.2814
15 O 0.6992 0.0214 0.5567
16 P 0.8195 0.2591 0.2246
17 P 0.3863 0.9329 0.8888
18 P 0.1805 0.7409 0.7754
19 P 0.8863 0.0671 0.6112
20 O 0.4626 0.8647 0.1667
21 O 0.1524 0.6184 0.2524
22 O 0.9734 0.7456 0.4549
23 O 0.8476 0.3816 0.7476
24 Ag 0.6613 0.5015 0.8753
25 O 0.3476 0.6184 0.7524
26 O 0.9688 0.3701 0.1272
27 O 0.3008 0.9786 0.4433
28 O 0.1992 0.9786 0.9433
29 O 0.4734 0.2544 0.0451
30 O 0.5312 0.3701 0.6272
31 P 0.6805 0.2591 0.7246
32 O 0.5266 0.7456 0.9549
33 O 0.2992 0.9287 0.7814
34 O 0.0266 0.2544 0.5451
35 O 0.9626 0.1353 0.3333
36 Ag 0.8387 0.5015 0.3753
37 O 0.4688 0.6299 0.3728
38 Ag 0.1613 0.4985 0.6247
39 P 0.6137 0.0671 0.1112
40 O 0.5374 0.1353 0.8333

- E_form (uncorrected) (eV/atom) = -1.536

---

No. 2
First-principles (PBE) data for crystalline AgPO3 at its relaxed geometry, as listed in Alexandria.

a = 3.5549 Å, b = 3.5549 Å, c = 3.5549 Å
α = 90.00°, β = 90.00°, γ = 90.00°
Element x y z (fractional)
1 Ag 0.5000 0.5000 0.5000
2 P 0.0000 0.0000 0.0000
3 O 0.0000 0.0000 0.5000
4 O 0.0000 0.5000 0.0000
5 O 0.5000 0.0000 0.0000

- E_form (uncorrected) (eV/atom) = -0.619

---

No. 3
First-principles (PBE) data for crystalline Ag2P2O5 at its relaxed geometry, as listed in Alexandria.

a = 2.9045 Å, b = 6.7042 Å, c = 8.9148 Å
α = 60.46°, β = 90.00°, γ = 102.51°
Last column: magnetic moment on the atom in μB.
Element x y z (fractional)
1 O 0.6770 0.3541 0.9303  0.02
2 Ag 0.5892 0.1784 0.5296  0.00
3 O 0.0000 0.0000 0.0000  0.01
4 O 0.3230 0.6459 0.0697  0.02
5 P 0.1413 0.2826 0.8749  0.06
6 O 0.8257 0.6515 0.3119  0.01
7 P 0.8587 0.7174 0.1251  0.06
8 Ag 0.4108 0.8216 0.4704  0.00
9 O 0.1743 0.3485 0.6881  0.01

- E_form (uncorrected) (eV/atom) = -1.149

---

No. 4
First-principles (PBE) data for crystalline Ag2P2O at its relaxed geometry, as listed in Alexandria.

a = 4.4430 Å, b = 4.4430 Å, c = 5.4663 Å
α = 66.02°, β = 66.02°, γ = 90.00°
Element x y z (fractional)
1 P 0.6144 0.6144 0.7712
2 Ag 0.7500 0.2500 0.5000
3 O 0.0000 0.0000 0.0000
4 Ag 0.2500 0.7500 0.5000
5 P 0.3856 0.3856 0.2288

- E_form (uncorrected) (eV/atom) = 0.605

---

No. 5
First-principles (PBE) data for crystalline AgPO4 at its relaxed geometry, as listed in Alexandria.

a = 4.9541 Å, b = 4.9541 Å, c = 7.6881 Å
α = 83.26°, β = 83.26°, γ = 74.50°
Element x y z (fractional)
1 O 0.2449 0.7927 0.4142
2 O 0.2073 0.7551 0.0858
3 O 0.1140 0.2252 0.2144
4 O 0.8860 0.7748 0.7856
5 O 0.7927 0.2449 0.9142
6 O 0.7748 0.8860 0.2856
7 O 0.7551 0.2073 0.5858
8 Ag 0.5000 0.0000 0.5000
9 P 0.0803 0.9197 0.2500
10 Ag 0.0000 0.5000 0.0000
11 P 0.9197 0.0803 0.7500
12 O 0.2252 0.1140 0.7144

- energy above the lowest structure with this stoichiometry (meV per atom) = 0
- E_form (uncorrected) (eV/atom) = -1.257

---

No. 6
First-principles (PBE) data for crystalline AgP3O at its relaxed geometry, as listed in Alexandria.

a = 4.8125 Å, b = 4.8125 Å, c = 4.8125 Å
α = 90.00°, β = 90.00°, γ = 90.00°
Last column: magnetic moment on the atom in μB.
Element x y z (fractional)
1 O 0.5000 0.5000 0.5000  1.21
2 P 0.0000 0.0000 0.5000  0.23
3 P 0.0000 0.5000 0.0000  0.18
4 P 0.5000 0.0000 0.0000  0.16
5 Ag 0.0000 0.0000 0.0000  0.05

- energy above the lowest structure with this stoichiometry (meV per atom) = 1056
- E_form (uncorrected) (eV/atom) = 1.733

---

No. 7
First-principles (PBE) data for crystalline PaAgPO6 at its relaxed geometry, as listed in Alexandria.

a = 4.8234 Å, b = 5.3256 Å, c = 5.3256 Å
α = 120.00°, β = 90.00°, γ = 90.00°
Last column: magnetic moment on the atom in μB.
Element x y z (fractional)
1 Pa 0.5000 0.6667 0.3333  0.02
2 O 0.7034 0.9922 0.2642  0.08
3 O 0.2966 0.2720 0.2642  0.08
4 O 0.2966 0.9922 0.7280  0.08
5 O 0.7034 0.2720 0.0078  0.08
6 P 0.5000 0.0000 0.0000  0.00
7 O 0.2966 0.7358 0.0078  0.08
8 O 0.7034 0.7358 0.7280  0.08
9 Ag 0.0000 0.3333 0.6667  0.24

- E_form (uncorrected) (eV/atom) = -1.897

---

No. 8
First-principles (PBE) data for crystalline PaAgP2O8 at its relaxed geometry, as listed in Alexandria.

a = 5.4996 Å, b = 5.4996 Å, c = 6.9966 Å
α = 90.00°, β = 90.00°, γ = 120.00°
Element x y z (fractional)
1 O 0.1821 0.8188 0.6874
2 O 0.3632 0.1821 0.3126
3 O 0.3333 0.6667 0.9920
4 Pa 0.0000 0.0000 0.5000
5 P 0.3333 0.6667 0.7797
6 Ag 0.0000 0.0000 0.0000
7 O 0.1812 0.3632 0.6874
8 O 0.8179 0.1812 0.3126
9 P 0.6667 0.3333 0.2203
10 O 0.6667 0.3333 0.0080
11 O 0.8188 0.6368 0.3126
12 O 0.6368 0.8179 0.6874

- E_form (uncorrected) (eV/atom) = -2.318

---

Values for magnetic moment, μB per atom, ordered as above
0.0000, 0.0000, 0.0308, 0.0000, 0.0000, 0.5331, 0.0916, 0.0000